1.
Pr2ErTh3 | PBE | relaxed

## Properties
**Energy relative to the elements**: 0.20 eV/atom
**Electronic total energy**: -5.86 eV/atom

```
data_Pr2ErTh3
_chemical_formula_sum 'Pr8 Er4 Th12'
_cell_length_a 10.336
_cell_length_b 11.483
_cell_length_c 6.789
_cell_angle_alpha 90.00
_cell_angle_beta 90.00
_cell_angle_gamma 90.00
_space_group_name_H-M_alt 'C m c m'
_space_group_IT_number 63
_space_group_name_Hall '-C 2c 2'
loop_
_atom_site_label
_atom_site_type_symbol
_atom_site_fract_x
_atom_site_fract_y
_atom_site_fract_z
Pr1 Pr 0.167 0.230 0.250
Er1 Er 0.000 0.272 0.750
Th1 Th 0.000 0.000 0.000
Th2 Th 0.165 0.500 0.000
```

---

2.
Na2AlSnH | PBE | relaxed

## Properties
**Electronic total energy**: -2.73 eV/atom
**ΔE to the lowest computed polymorph**: 0.00 eV/f.u.

```
data_Na2AlSnH
_chemical_formula_sum 'Na2 Al1 Sn1 H1'
_cell_length_a 4.365
_cell_length_b 4.365
_cell_length_c 5.004
_cell_angle_alpha 90.00
_cell_angle_beta 90.00
_cell_angle_gamma 90.00
_space_group_name_H-M_alt 'P 4/m m m'
_space_group_IT_number 123
_space_group_name_Hall '-P 4 2'
loop_
_atom_site_label
_atom_site_type_symbol
_atom_site_fract_x
_atom_site_fract_y
_atom_site_fract_z
Na1 Na 0.000 0.500 0.000
Al1 Al 0.000 0.000 0.500
Sn1 Sn 0.500 0.500 0.500
H1 H 0.000 0.000 0.000
```

---

3.
CdHg4H | PBE | relaxed

## Properties
**Electronic total energy**: -0.69 eV/atom

```
data_CdHg4H
_chemical_formula_sum 'Cd1 Hg4 H1'
_cell_length_a 2.993
_cell_length_b 3.337
_cell_length_c 13.627
_cell_angle_alpha 90.00
_cell_angle_beta 95.71
_cell_angle_gamma 90.00
_space_group_name_H-M_alt 'P 1 2/m 1'
_space_group_IT_number 10
_space_group_name_Hall '-P 2y'
loop_
_atom_site_label
_atom_site_type_symbol
_atom_site_fract_x
_atom_site_fract_y
_atom_site_fract_z
Cd1 Cd 0.000 0.000 0.000
Hg1 Hg 0.349 0.500 0.187
Hg2 Hg 0.464 0.000 0.383
H1 H 0.500 0.500 0.500
```

---

4.
Sr2CdPb | PBE | relaxed

## Properties
**Energy relative to the elements**: -0.23 eV/atom
**Electronic total energy**: -2.23 eV/atom
**ΔE to the lowest computed polymorph**: 1.09 eV/f.u.

```
data_Sr2CdPb
_chemical_formula_sum 'Sr2 Cd1 Pb1'
_cell_length_a 4.025
_cell_length_b 4.025
_cell_length_c 9.295
_cell_angle_alpha 90.00
_cell_angle_beta 90.00
_cell_angle_gamma 90.00
_space_group_name_H-M_alt 'P 4 m m'
_space_group_IT_number 99
_space_group_name_Hall 'P 4 -2'
loop_
_atom_site_label
_atom_site_type_symbol
_atom_site_fract_x
_atom_site_fract_y
_atom_site_fract_z
Sr1 Sr 0.000 0.000 0.000
Sr2 Sr 0.500 0.500 0.365
Cd1 Cd 0.000 0.000 0.579
Pb1 Pb 0.500 0.500 0.760
```

---

5.
Sm3Zn2Ag2 | PBE | relaxed

## Properties
**Energy relative to the elements**: -0.25 eV/atom
**Electronic total energy**: -3.45 eV/atom

```
data_Sm3Zn2Ag2
_chemical_formula_sum 'Sm3 Zn2 Ag2'
_cell_length_a 4.868
_cell_length_b 5.837
_cell_length_c 6.635
_cell_angle_alpha 77.53
_cell_angle_beta 89.95
_cell_angle_gamma 65.43
_space_group_name_H-M_alt 'P -1'
_space_group_IT_number 2
_space_group_name_Hall '-P 1'
loop_
_atom_site_label
_atom_site_type_symbol
_atom_site_fract_x
_atom_site_fract_y
_atom_site_fract_z
Sm1 Sm 0.000 0.000 0.000
Sm2 Sm 0.346 0.307 0.265
Zn1 Zn 0.108 0.785 0.453
Ag1 Ag 0.346 0.308 0.752
```

---

6.
B2N | PBE | relaxed

## Properties
**E_form (uncorrected)**: -606 meV/atom
**Electronic total energy**: -7.83 eV/atom
**ΔE to the lowest computed polymorph**: 0.00 eV/f.u.

```
data_B2N
_chemical_formula_sum 'B8 N4'
_cell_length_a 2.500
_cell_length_b 2.500
_cell_length_c 12.529
_cell_angle_alpha 90.00
_cell_angle_beta 90.00
_cell_angle_gamma 90.00
_space_group_name_H-M_alt 'I -4 m 2'
_space_group_IT_number 119
_space_group_name_Hall 'I -4 -2'
loop_
_atom_site_label
_atom_site_type_symbol
_atom_site_fract_x
_atom_site_fract_y
_atom_site_fract_z
B1 B 0.000 0.000 0.000
B2 B 0.000 0.000 0.355
B3 B 0.000 0.500 0.250
N1 N 0.000 0.500 0.574
```